Entry 1:
VASP calculation (PBE) on an optimized crystal structure of Dy2P3Pd5.

Cell and atoms, written as POSCAR:
```
Dy2P3Pd5
1.0
4.113 0.000 -0.701
0.000 6.914 0.000
-0.083 0.000 11.937
Dy P Pd
4 6 10
direct
0.826 0.240 0.651 Dy
0.476 0.775 0.953 Dy
0.174 0.740 0.349 Dy
0.524 0.275 0.047 Dy
0.391 0.072 0.783 P
0.045 0.987 0.090 P
0.955 0.487 0.910 P
0.771 0.689 0.541 P
0.609 0.572 0.217 P
0.229 0.189 0.459 P
0.129 0.202 0.257 Pd
0.401 0.428 0.802 Pd
0.945 0.079 0.890 Pd
0.724 0.997 0.448 Pd
0.303 0.893 0.605 Pd
0.276 0.497 0.552 Pd
0.055 0.579 0.110 Pd
0.599 0.928 0.198 Pd
0.871 0.702 0.743 Pd
0.697 0.393 0.395 Pd
```

Values from the calculation:
The value obtained for the energy of formation is -907 meV/atom. The space-group type is Cmc2_1 (36).

Entry 2:
VASP calculation (PBE) on an optimized crystal structure of Dy2P3PdPt12.

Cell and atoms, written as POSCAR:
```
Dy2P3PdPt12
1.0
-5.494 5.155 -0.188
-3.457 0.958 6.628
1.813 6.458 3.434
Pd Pt Dy P
1 12 2 3
direct
0.000 0.000 0.000 Pd
0.135 0.135 0.617 Pt
0.652 0.652 0.107 Pt
0.107 0.652 0.652 Pt
0.617 0.135 0.135 Pt
0.652 0.107 0.652 Pt
0.348 0.348 0.893 Pt
0.893 0.348 0.348 Pt
0.865 0.865 0.383 Pt
0.383 0.865 0.865 Pt
0.135 0.617 0.135 Pt
0.865 0.383 0.865 Pt
0.348 0.893 0.348 Pt
0.608 0.608 0.608 Dy
0.392 0.392 0.392 Dy
0.000 0.000 0.500 P
0.500 0.000 0.000 P
0.000 0.500 0.000 P
```

Values from the calculation:
The value obtained for the energy of formation is -361 meV/atom. The space-group type is R-3m (166).